[1]
An optimized crystal structure of Cs3Tl2Sn4. Source: Alexandria, functional GGA-PBE.

For the total energy, the calculation gives -2.69 eV per atom. As for the energy relative to the elements: -0.099 eV per atom. The density of states at the Fermi level is 5.04 states/eV/cell.

It has space group P-1 (No. 2), with a = 5.462 Å, b = 7.717 Å, c = 10.216 Å, α = 71.60°, β = 74.66° and γ = 69.27°. Symmetry generates all atoms from Cs at (0.000, 0.000, 0.000), Cs at (0.390, 0.877, 0.350), Tl at (0.284, 0.676, 0.742), Sn at (0.094, 0.478, 0.355) and Sn at (0.284, 0.390, 0.047).


[2]
An optimized crystal structure of Cs2TlSn. Source: Alexandria, functional GGA-PBE.

For the total energy, the calculation gives -2.14 eV per atom. As for the energy relative to the elements: -0.123 eV per atom. The density of states at the Fermi level is 10.59 states/eV/cell. Its excess energy over the best structure of this formula in the dataset is 0.000 eV per atom.

It has space group Cmcm (No. 63), with a = 12.264 Å, b = 9.173 Å, c = 6.865 Å, α = 90.00°, β = 90.00° and γ = 90.00°. Symmetry generates all atoms from Cs at (0.169, 0.147, 0.250), Tl at (0.000, 0.500, 0.000) and Sn at (0.000, 0.234, 0.750).


[3]
An optimized crystal structure of Cs2Tl5Sn3. Source: Alexandria, functional GGA-PBE.

For the total energy, the calculation gives -2.65 eV per atom. As for the energy relative to the elements: -0.098 eV per atom. The density of states at the Fermi level is 18.91 states/eV/cell.

It has space group Ibam (No. 72), with a = 12.385 Å, b = 15.563 Å, c = 7.620 Å, α = 90.00°, β = 90.00° and γ = 90.00°. Symmetry generates all atoms from Cs at (0.247, 0.127, 0.000), Tl at (0.000, 0.256, 0.250), Tl at (0.000, 0.500, 0.250), Tl at (0.126, 0.120, 0.500), Sn at (0.000, 0.000, 0.250) and Sn at (0.129, 0.379, 0.000).